Material: Na2GaAg
Method: DFT, PBE
State: relaxed

Properties
Formation energy = -5.05 kJ per mole of atoms
E = -17.45 eV/cell
Space-group type = No. 8

Lattice parameters (Å, degrees): 4.7724 5.9813 7.8336 77.31 72.27 66.49
Atoms (fractional coordinates):
Na 0.8182 0.8371 0.5264
Na 0.1920 0.2608 0.3551
Ga 0.0638 0.7620 0.1103
Ag 0.4971 0.7105 0.2953
Ga 0.5673 0.9228 0.9426
Na 0.8174 0.3428 0.0225
Ag 0.1393 0.9656 0.7558
Na 0.4470 0.4149 0.6910

---

Material: NaGa2Ag5
Method: DFT, PBE
State: relaxed

Properties
Formation energy = -3.35 kJ per mole of atoms
E = -21.91 eV/cell
Space-group type = No. 71

Lattice parameters (Å, degrees): 2.9494 7.3013 7.3013 75.82 78.35 78.35
Atoms (fractional coordinates):
Ga 0.2497 0.2503 0.2503
Ag 0.6326 0.1341 0.6007
Ag 0.3674 0.8659 0.3993
Ga 0.7503 0.7497 0.7497
Ag 0.3674 0.3993 0.8659
Ag 0.6326 0.6007 0.1341
Ag 0.0000 0.5000 0.5000
Na 0.0000 0.0000 0.0000

---

Material: Na2Ga2Ag
Method: DFT, PBE
State: relaxed

Properties
Formation energy = -5.45 kJ per mole of atoms
E = -23.65 eV/cell
Space-group type = No. 127

Lattice parameters (Å, degrees): 6.7674 6.7674 5.0567 90.00 90.00 90.00
Atoms (fractional coordinates):
Ag 0.0000 0.0000 0.0000
Ga 0.8685 0.6315 0.0000
Na 0.8228 0.3228 0.5000
Ga 0.3685 0.8685 0.0000
Ga 0.6315 0.1315 0.0000
Na 0.6772 0.8228 0.5000
Ga 0.1315 0.3685 0.0000
Na 0.3228 0.1772 0.5000
Na 0.1772 0.6772 0.5000
Ag 0.5000 0.5000 0.0000

---

Material: Na2GaAg3
Method: DFT, PBE
State: relaxed

Properties
Formation energy = -8.18 kJ per mole of atoms
E = -29.45 eV/cell
Space-group type = No. 194

Lattice parameters (Å, degrees): 5.7273 5.7273 8.9085 90.00 90.00 120.00
Atoms (fractional coordinates):
Ag 0.1685 0.8315 0.2500
Na 0.6667 0.3333 0.4373
Ag 0.6629 0.8315 0.2500
Na 0.6667 0.3333 0.0627
Ga 0.0000 0.0000 0.0000
Ag 0.1685 0.3371 0.2500
Ag 0.8315 0.6629 0.7500
Na 0.3333 0.6667 0.5627
Ag 0.8315 0.1685 0.7500
Na 0.3333 0.6667 0.9373
Ga 0.0000 0.0000 0.5000
Ag 0.3371 0.1685 0.7500

---

Material: NaGaAg
Method: DFT, PBE
State: relaxed

Properties
Formation energy = -6.98 kJ per mole of atoms
E = -14.83 eV/cell
Space-group type = No. 11

Lattice parameters (Å, degrees): 4.8482 6.1902 5.2266 60.15 90.01 90.00
Atoms (fractional coordinates):
Ga 0.4500 0.5356 0.8182
Na 0.4494 0.1163 0.6237
Na 0.9493 0.0593 0.2012
Ag 0.9499 0.5092 0.5834
Ga 0.9499 0.6400 0.0062
Ag 0.4498 0.6664 0.2411

---

Material: Na2Ga2Ag
Method: DFT, PBE
State: relaxed

Properties
Formation energy = -5.92 kJ per mole of atoms
E = -23.70 eV/cell
Space-group type = No. 15

Lattice parameters (Å, degrees): 5.8063 5.4880 8.8386 99.06 90.00 121.94
Atoms (fractional coordinates):
Ga 0.9947 0.7403 0.9925
Ag 0.9066 0.0000 0.2500
Na 0.4662 0.6998 0.8351
Na 0.2336 0.6998 0.3351
Ga 0.0053 0.2597 0.0075
Ag 0.0934 0.0000 0.7500
Ga 0.2544 0.2597 0.5075
Ga 0.7456 0.7403 0.4925
Na 0.5338 0.3002 0.1649
Na 0.7664 0.3002 0.6649

---

Material: Na17Ga11Ag
Method: DFT, PBE
State: relaxed

Properties
Formation energy = -5.88 kJ per mole of atoms
E = -60.34 eV/cell
Space-group type = No. 8

Lattice parameters (Å, degrees): 9.6297 9.6297 9.7072 109.43 109.43 109.65
Atoms (fractional coordinates):
Na 0.9987 0.3118 0.5935
Na 0.0000 0.3523 0.9989
Na 0.6491 0.6491 0.6524
Na 0.3118 0.9987 0.5935
Ga 0.8234 0.6481 0.0018
Na 0.0005 0.0005 0.3493
Na 0.2814 0.6879 0.6876
Ga 0.1715 0.1715 0.8141
Ga 0.0000 0.8215 0.6486
Ga 0.1809 0.3531 0.3577
Ga 0.1823 0.8278 0.1754
Na 0.5946 0.0007 0.3117
Na 0.7176 0.4073 0.4063
Ga 0.3531 0.1809 0.3577
Na 0.6879 0.2814 0.6876
Na 0.0007 0.5946 0.3117
Na 0.4075 0.4075 0.7212
Na 0.3523 0.0000 0.9989
Ga 0.8278 0.1823 0.1754
Na 0.3131 0.5937 0.9993
Ga 0.0030 0.6475 0.8299
Ga 0.8215 0.0000 0.6486
Ag 0.3374 0.3374 0.1601
Na 0.5937 0.3131 0.9993
Na 0.6884 0.6884 0.2823
Ga 0.6481 0.8234 0.0018
Na 0.9989 0.9989 0.9992
Ga 0.6475 0.0030 0.8299
Na 0.4073 0.7176 0.4063

---

Material: NaGaAg
Method: DFT, PBE
State: relaxed

Properties
Formation energy = -6.01 kJ per mole of atoms
E = -7.38 eV/cell
Space-group type = No. 187

Lattice parameters (Å, degrees): 2.9975 4.8046 4.8046 120.00 90.00 90.00
Atoms (fractional coordinates):
Ga 0.1669 0.6667 0.3333
Na 0.6668 0.3333 0.6667
Ag 0.1663 0.0000 0.0000